First-principles (PBE-GGA) data for a relaxed Ba2Ga3AgGe4 crystal, as listed in Alexandria via LeMat-Bulk.

For the formation energy from the elements, the calculation gives -350 kJ/mol of formula units.

a b c (Å): 4.7379 4.7379 10.5099
angles (deg): 90.00 90.00 90.00
Sites, in units of the cell vectors:
Ag 0.5000 0.5000 0.5000
Ge 0.0000 0.5000 0.3704
Ge 0.5000 0.0000 0.6296
Ge 0.0000 0.0000 0.0000
Ge 0.5000 0.5000 0.0000
Ba 0.0000 0.5000 0.7491
Ba 0.5000 0.0000 0.2509
Ga 0.0000 0.0000 0.5000
Ga 0.0000 0.5000 0.1236
Ga 0.5000 0.0000 0.8764


First-principles (PBE-GGA) data for a relaxed BaGaAgGe2 crystal, as listed in Alexandria via LeMat-Bulk.

For the formation energy from the elements, the calculation gives -171 kJ/mol of formula units.

a b c (Å): 4.6804 4.6804 6.3246
angles (deg): 111.72 111.72 90.00
Sites, in units of the cell vectors:
Ge 0.3799 0.3799 0.7597
Ge 0.6201 0.6201 0.2403
Ba 0.0000 0.0000 0.0000
Ga 0.2500 0.7500 0.5000
Ag 0.7500 0.2500 0.5000


First-principles (PBE-GGA) data for a relaxed BaGa2AgGe crystal, as listed in Alexandria via LeMat-Bulk.

For the formation energy from the elements, the calculation gives -185 kJ/mol of formula units.

a b c (Å): 4.6427 4.5582 6.4167
angles (deg): 110.80 111.21 90.00
Sites, in units of the cell vectors:
Ga 0.0627 0.0627 0.1254
Ga 0.6891 0.1891 0.3783
Ag 0.1932 0.6932 0.3865
Ge 0.8253 0.8253 0.6506
Ba 0.4418 0.4418 0.8835


First-principles (PBE-GGA) data for a relaxed Ba2GaAgH crystal, as listed in Alexandria via LeMat-Bulk.

For the excess energy over the best structure of this formula in the dataset, the calculation gives 0 meV per atom.

a b c (Å): 5.8183 5.8183 4.0835
angles (deg): 90.00 90.00 90.00
Sites, in units of the cell vectors:
H 0.0000 0.0000 0.0000
Ba 0.5000 0.0000 0.0000
Ba 0.0000 0.5000 0.0000
Ga 0.5000 0.5000 0.5000
Ag 0.0000 0.0000 0.5000


First-principles (PBE-GGA) data for a relaxed BaGaAgH6 crystal, as listed in Alexandria via LeMat-Bulk.

a b c (Å): 5.2318 5.2377 4.9100
angles (deg): 95.39 84.73 65.21
Sites, in units of the cell vectors:
H 0.8724 0.5575 0.1706
H 0.2671 0.7027 0.4422
H 0.3908 0.1697 0.2240
H 0.1712 0.3921 0.7781
H 0.5570 0.8730 0.8283
H 0.7039 0.2667 0.5569
Ba 0.9883 0.9886 0.9999
Ag 0.6827 0.6836 0.4993
Ga 0.3663 0.3661 0.5005


First-principles (PBE-GGA) data for a relaxed Ba2GaAgH crystal, as listed in Alexandria via LeMat-Bulk.

For the excess energy over the best structure of this formula in the dataset, the calculation gives 32 meV per atom.

a b c (Å): 5.6985 5.6985 4.2547
angles (deg): 90.00 90.00 90.00
Sites, in units of the cell vectors:
Ba 0.5000 0.0000 0.0000
Ba 0.0000 0.5000 0.0000
Ag 0.5000 0.5000 0.5000
Ga 0.0000 0.0000 0.5000
H 0.0000 0.0000 0.0000


First-principles (PBE-GGA) data for a relaxed Ba2Ga4AgHg3 crystal, as listed in Alexandria via LeMat-Bulk.

For the formation energy from the elements, the calculation gives -328 kJ/mol of formula units.

a b c (Å): 4.7467 4.7467 11.4811
angles (deg): 90.00 90.00 90.00
Sites, in units of the cell vectors:
Ag 0.5000 0.5000 0.5000
Hg 0.0000 0.0000 0.5000
Hg 0.0000 0.5000 0.1346
Hg 0.5000 0.0000 0.8654
Ga 0.5000 0.5000 0.0000
Ga 0.0000 0.5000 0.3765
Ga 0.5000 0.0000 0.6235
Ga 0.0000 0.0000 0.0000
Ba 0.0000 0.5000 0.7474
Ba 0.5000 0.0000 0.2526


First-principles (PBE-GGA) data for a relaxed BaGaAgHg2 crystal, as listed in Alexandria via LeMat-Bulk.

For the formation energy from the elements, the calculation gives -62 kJ/mol of formula units. For the excess energy over the best structure of this formula in the dataset, the calculation gives 76 meV per atom.

a b c (Å): 5.4576 5.4576 5.0768
angles (deg): 90.00 90.00 90.00
Sites, in units of the cell vectors:
Hg 0.5000 0.0000 0.0000
Hg 0.0000 0.5000 0.0000
Ag 0.0000 0.0000 0.0000
Ba 0.5000 0.5000 0.5000
Ga 0.0000 0.0000 0.5000


First-principles (PBE-GGA) data for a relaxed BaGaAg2Hg crystal, as listed in Alexandria via LeMat-Bulk.

For the formation energy from the elements, the calculation gives -83 kJ/mol of formula units.

a b c (Å): 5.1121 5.1121 5.3348
angles (deg): 90.00 90.00 90.00
Sites, in units of the cell vectors:
Ag 0.0000 0.5000 0.0000
Ag 0.5000 0.0000 0.0000
Ba 0.5000 0.5000 0.5000
Hg 0.0000 0.0000 0.5000
Ga 0.0000 0.0000 0.0000


First-principles (PBE-GGA) data for a relaxed Ba2GaAgHg6 crystal, as listed in Alexandria via LeMat-Bulk.

For the formation energy from the elements, the calculation gives -246 kJ/mol of formula units.

a b c (Å): 7.4116 8.0041 7.7787
angles (deg): 74.59 47.94 95.60
Sites, in units of the cell vectors:
Ba 0.2509 0.7167 0.5121
Ba 0.7491 0.2833 0.4879
Ga 0.0000 0.0000 0.0000
Hg 0.7652 0.8996 0.8337
Hg 0.2348 0.1004 0.1663
Hg 0.7468 0.7202 0.4905
Hg 0.2532 0.2798 0.5095
Hg 0.2580 0.7513 0.9556
Hg 0.7420 0.2487 0.0444
Ag 0.5000 0.5000 0.0000


First-principles (PBE-GGA) data for a relaxed Ba2Ga4Ag3Hg crystal, as listed in Alexandria via LeMat-Bulk.

For the formation energy from the elements, the calculation gives -289 kJ/mol of formula units.

a b c (Å): 4.6913 4.6913 11.1575
angles (deg): 90.00 90.00 90.00
Sites, in units of the cell vectors:
Ag 0.5000 0.0000 0.8758
Ag 0.0000 0.0000 0.5000
Ag 0.0000 0.5000 0.1242
Ba 0.5000 0.0000 0.2464
Ba 0.0000 0.5000 0.7536
Ga 0.0000 0.5000 0.3668
Ga 0.5000 0.0000 0.6332
Ga 0.0000 0.0000 0.0000
Ga 0.5000 0.5000 0.0000
Hg 0.5000 0.5000 0.5000


First-principles (PBE-GGA) data for a relaxed BaGaAgHg2 crystal, as listed in Alexandria via LeMat-Bulk.

For the formation energy from the elements, the calculation gives -98 kJ/mol of formula units. For the excess energy over the best structure of this formula in the dataset, the calculation gives 0 meV per atom.

a b c (Å): 5.3446 5.3446 5.1509
angles (deg): 90.00 90.00 90.00
Sites, in units of the cell vectors:
Hg 0.5000 0.0000 0.0000
Hg 0.0000 0.5000 0.0000
Ag 0.0000 0.0000 0.5000
Ba 0.5000 0.5000 0.5000
Ga 0.0000 0.0000 0.0000


First-principles (PBE-GGA) data for a relaxed BaIn2GaAg2 crystal, as listed in Alexandria via LeMat-Bulk.

For the formation energy from the elements, the calculation gives -77 kJ/mol of formula units.

a b c (Å): 5.0371 5.0371 6.4560
angles (deg): 90.00 90.00 90.00
Sites, in units of the cell vectors:
In 0.5000 0.5000 0.2583
In 0.5000 0.5000 0.7417
Ga 0.0000 0.0000 0.0000
Ba 0.0000 0.0000 0.5000
Ag 0.0000 0.5000 0.0000
Ag 0.5000 0.0000 0.0000


First-principles (PBE-GGA) data for a relaxed BaIn2GaAg crystal, as listed in Alexandria via LeMat-Bulk.

For the formation energy from the elements, the calculation gives -161 kJ/mol of formula units. For the excess energy over the best structure of this formula in the dataset, the calculation gives 0 meV per atom.

a b c (Å): 4.8451 4.7293 6.8104
angles (deg): 110.32 110.84 90.00
Sites, in units of the cell vectors:
Ag 0.2020 0.7020 0.4040
Ba 0.4380 0.4380 0.8760
Ga 0.8206 0.8206 0.6413
In 0.0551 0.0551 0.1102
In 0.6964 0.1964 0.3928


First-principles (PBE-GGA) data for a relaxed BaInGaAg3 crystal, as listed in Alexandria via LeMat-Bulk.

For the formation energy from the elements, the calculation gives -65 kJ/mol of formula units.

a b c (Å): 6.7478 7.2100 7.5157
angles (deg): 118.66 90.00 90.00
Sites, in units of the cell vectors:
Ag 0.0000 0.3050 0.0000
Ag 0.2500 0.1863 0.3726
Ag 0.7500 0.8137 0.6274
Ag 0.5000 0.3050 0.0000
Ag 0.0000 0.6950 0.0000
Ag 0.5000 0.6950 0.0000
Ga 0.7500 0.6172 0.2344
Ga 0.2500 0.3828 0.7656
In 0.2500 0.9768 0.9537
In 0.7500 0.0232 0.0463
Ba 0.2500 0.7155 0.4310
Ba 0.7500 0.2845 0.5690


First-principles (PBE-GGA) data for a relaxed BaInGa2Ag4 crystal, as listed in Alexandria via LeMat-Bulk.

For the formation energy from the elements, the calculation gives -85 kJ/mol of formula units.

a b c (Å): 4.5964 4.5964 10.5560
angles (deg): 77.43 77.43 60.00
Sites, in units of the cell vectors:
Ba 0.0000 0.0000 0.0000
Ga 0.7506 0.7506 0.7483
Ga 0.2494 0.2494 0.2517
Ag 0.1260 0.1260 0.6221
Ag 0.5914 0.5914 0.2259
Ag 0.8740 0.8740 0.3779
Ag 0.4086 0.4086 0.7741
In 0.5000 0.5000 0.5000


First-principles (PBE-GGA) data for a relaxed Ba2InGa3Ag4 crystal, as listed in Alexandria via LeMat-Bulk.

For the formation energy from the elements, the calculation gives -273 kJ/mol of formula units.

a b c (Å): 4.7217 4.7217 11.2160
angles (deg): 90.00 90.00 90.00
Sites, in units of the cell vectors:
Ga 0.5000 0.0000 0.8829
Ga 0.0000 0.0000 0.5000
Ga 0.0000 0.5000 0.1171
Ba 0.5000 0.0000 0.2436
Ba 0.0000 0.5000 0.7564
Ag 0.0000 0.0000 0.0000
Ag 0.0000 0.5000 0.3586
Ag 0.5000 0.5000 0.0000
Ag 0.5000 0.0000 0.6414
In 0.5000 0.5000 0.5000


First-principles (PBE-GGA) data for a relaxed Ba2In3GaAg4 crystal, as listed in Alexandria via LeMat-Bulk.

For the formation energy from the elements, the calculation gives -259 kJ/mol of formula units.

a b c (Å): 4.8004 4.8004 11.6849
angles (deg): 90.00 90.00 90.00
Sites, in units of the cell vectors:
Ag 0.5000 0.5000 0.0000
Ag 0.0000 0.5000 0.3727
Ag 0.0000 0.0000 0.0000
Ag 0.5000 0.0000 0.6273
In 0.0000 0.0000 0.5000
In 0.0000 0.5000 0.1291
In 0.5000 0.0000 0.8709
Ba 0.0000 0.5000 0.7451
Ba 0.5000 0.0000 0.2549
Ga 0.5000 0.5000 0.5000


First-principles (PBE-GGA) data for a relaxed Ba2In6GaAg crystal, as listed in Alexandria via LeMat-Bulk.

For the formation energy from the elements, the calculation gives -163 kJ/mol of formula units.

a b c (Å): 7.4095 7.4095 13.6460
angles (deg): 74.25 74.25 60.00
Sites, in units of the cell vectors:
In 0.6525 0.6525 0.6340
In 0.7792 0.7792 0.1435
In 0.3475 0.3475 0.3660
In 0.6525 0.0609 0.6340
In 0.2208 0.7018 0.8565
In 0.3475 0.9391 0.3660
In 0.2208 0.2208 0.8565
In 0.7792 0.2982 0.1435
In 0.2982 0.7792 0.1435
In 0.9391 0.3475 0.3660
In 0.7018 0.2208 0.8565
In 0.0609 0.6525 0.6340
Ag 0.5000 0.5000 0.5000
Ag 0.0000 0.0000 0.0000
Ba 0.8726 0.8726 0.3822
Ba 0.6995 0.6995 0.9016
Ba 0.3005 0.3005 0.0984
Ba 0.1274 0.1274 0.6178
Ga 0.4299 0.4299 0.7104
Ga 0.5701 0.5701 0.2896


First-principles (PBE-GGA) data for a relaxed BaIn2GaAg crystal, as listed in Alexandria via LeMat-Bulk.

For the formation energy from the elements, the calculation gives 443 kJ/mol of formula units. For the excess energy over the best structure of this formula in the dataset, the calculation gives 1252 meV per atom.

a b c (Å): 6.5192 5.9193 6.5192
angles (deg): 90.00 90.00 90.00
Sites, in units of the cell vectors:
In 0.0000 0.0000 0.5000
In 0.5000 0.0000 0.0000
Ag 0.0000 0.5000 0.0000
Ba 0.0000 0.0000 0.0000
Ga 0.5000 0.5000 0.5000


First-principles (PBE-GGA) data for a relaxed BaIn2GaAg4 crystal, as listed in Alexandria via LeMat-Bulk.

For the formation energy from the elements, the calculation gives -101 kJ/mol of formula units.

a b c (Å): 4.7516 4.7516 10.2938
angles (deg): 76.66 76.66 60.00
Sites, in units of the cell vectors:
Ga 0.5000 0.5000 0.5000
In 0.7545 0.7545 0.7366
In 0.2455 0.2455 0.2634
Ag 0.8593 0.8593 0.4220
Ag 0.1407 0.1407 0.5780
Ag 0.4100 0.4100 0.7700
Ag 0.5900 0.5900 0.2300
Ba 0.0000 0.0000 0.0000


First-principles (PBE-GGA) data for a relaxed BaInGaAg2 crystal, as listed in Alexandria via LeMat-Bulk.

For the formation energy from the elements, the calculation gives -145 kJ/mol of formula units.

a b c (Å): 4.7508 4.7641 6.6304
angles (deg): 111.06 110.99 90.00
Sites, in units of the cell vectors:
Ga 0.8212 0.8212 0.6424
Ba 0.4403 0.4403 0.8806
Ag 0.0543 0.0543 0.1086
Ag 0.7060 0.2060 0.4120
In 0.1904 0.6904 0.3807


First-principles (PBE-GGA) data for a relaxed BaGaAgIr crystal, as listed in Alexandria via LeMat-Bulk.

For the formation energy from the elements, the calculation gives -109 kJ/mol of formula units.

a b c (Å): 4.3416 4.3416 11.1282
angles (deg): 90.00 90.00 90.00
Sites, in units of the cell vectors:
Ag 0.2500 0.7500 0.5000
Ag 0.7500 0.2500 0.5000
Ba 0.7500 0.7500 0.2491
Ba 0.2500 0.2500 0.7509
Ga 0.2500 0.2500 0.1068
Ga 0.7500 0.7500 0.8932
Ir 0.2500 0.7500 0.0000
Ir 0.7500 0.2500 0.0000


First-principles (PBE-GGA) data for a relaxed Ba2LiGa3Ag12 crystal, as listed in Alexandria via LeMat-Bulk.

For the formation energy from the elements, the calculation gives 256 kJ/mol of formula units.

a b c (Å): 8.4715 8.4715 8.4715
angles (deg): 63.94 63.94 63.94
Sites, in units of the cell vectors:
Ba 0.6194 0.6194 0.6194
Ba 0.3806 0.3806 0.3806
Ga 0.0000 0.5000 0.0000
Ga 0.5000 0.0000 0.0000
Ga 0.0000 0.0000 0.5000
Li 0.0000 0.0000 0.0000
Ag 0.6492 0.1157 0.1157
Ag 0.8843 0.8843 0.3508
Ag 0.8843 0.3508 0.8843
Ag 0.1157 0.1157 0.6492
Ag 0.8737 0.3462 0.3462
Ag 0.6538 0.6538 0.1263
Ag 0.1263 0.6538 0.6538
Ag 0.1157 0.6492 0.1157
Ag 0.3462 0.8737 0.3462
Ag 0.6538 0.1263 0.6538
Ag 0.3508 0.8843 0.8843
Ag 0.3462 0.3462 0.8737


The evaluated uncorrected energy for the records listed, in turn: -3.7870; -3.7612; -3.4724; -2.8819; -3.2077; -2.8503; -2.3104; -1.8087; -2.3628; -1.4082; -2.7802; -1.8844; -2.8216; -2.9901; -2.8200; -2.8754; -2.9900; -2.9180; -2.7845; -1.7382; -2.8597; -2.9787; -4.4467; -2.5781 eV/atom.